(1)
First-principles (PBE) data for an optimized crystal structure of Si2TeAu2, as listed in the Alexandria database.

Values from the calculation:
- Total moment: 0.00 Bohr magnetons per cell
- DFT total energy: -0.1428 Ha/atom
- Uncorrected formation energy: 0.22 eV per atom

```
5
Lattice="4.195 0.000 0.000 0.000 4.195 0.000 2.097 2.097 5.799" Properties=species:S:1:pos:R:3 pbc="T T T"
Si 4.195 2.097 2.900
Si 2.097 4.195 2.900
Te 0.000 0.000 0.000
Au 2.097 2.097 1.406
Au 4.195 4.195 4.393
```

(2)
First-principles (PBE) data for an optimized crystal structure of Si2Te4Au, as listed in the Alexandria database.

Values from the calculation:
- Total moment: 0.00 Bohr magnetons per cell
- DFT total energy: -0.1368 Ha/atom
- Uncorrected formation energy: 0.09 eV per atom

```
7
Lattice="6.663 -0.113 0.000 -3.307 5.786 0.000 -1.678 -2.837 5.792" Properties=species:S:1:pos:R:3 pbc="T T T"
Si -1.654 2.893 2.896
Si 3.332 -0.056 2.896
Te 0.741 -0.438 3.045
Te 4.042 1.438 0.861
Te -2.364 1.399 4.932
Te 0.937 3.275 2.747
Au 1.678 2.837 0.000
```

(3)
First-principles (PBE) data for an optimized crystal structure of TlSi2Te6Au, as listed in the Alexandria database.

Values from the calculation:
- Total moment: 0.00 Bohr magnetons per cell
- DFT total energy: -0.1302 Ha/atom
- Uncorrected formation energy: -0.01 eV per atom

```
20
Lattice="-3.677 5.356 2.327 -8.810 -1.033 -5.298 -5.685 -4.411 7.414" Properties=species:S:1:pos:R:3 pbc="T T T"
Tl -9.316 -0.141 -3.035
Tl -8.856 0.052 7.478
Si -11.553 -1.904 1.345
Si -5.211 -0.398 0.186
Si -6.619 1.815 3.099
Si -12.961 0.309 4.257
Te -13.654 -3.247 1.382
Te -3.162 1.002 -0.068
Te -4.518 3.158 3.061
Te -15.009 -1.092 4.511
Te -11.815 -0.209 -0.648
Te -6.038 -0.914 -2.256
Te -6.356 0.120 5.091
Te -12.134 0.825 6.699
Te -9.499 -3.045 0.364
Te -7.340 0.824 0.861
Te -8.673 2.955 4.079
Te -10.832 -0.913 3.582
Au -7.518 -2.085 4.280
Au -10.654 1.996 0.163
```

(4)
First-principles (PBE) data for an optimized crystal structure of TlSiTeAu2, as listed in the Alexandria database.

Values from the calculation:
- Total moment: 0.68 Bohr magnetons per cell
- DFT total energy: -0.0962 Ha/atom
- Uncorrected formation energy: 0.88 eV per atom

```
5
Lattice="-0.960 -0.955 -4.974 -5.942 -2.498 1.626 -2.103 4.681 -0.493" Properties=species:S:1:pos:R:3 pbc="T T T"
Tl -2.971 -1.249 0.813
Te 0.000 0.000 0.000
Au -1.051 2.340 -0.246
Au -0.480 -0.477 -2.487
Si -4.502 0.614 -1.921
```

(5)
First-principles (PBE) data for an optimized crystal structure of ThSi3Au3, as listed in the Alexandria database.

Values from the calculation:
- Total moment: 0.00 Bohr magnetons per cell
- DFT total energy: -0.1768 Ha/atom
- Uncorrected formation energy: -0.02 eV per atom

```
14
Lattice="6.764 0.000 0.000 0.000 6.764 0.000 0.000 0.000 6.764" Properties=species:S:1:pos:R:3 pbc="T T T"
Si 1.691 0.000 3.382
Si 0.000 3.382 1.691
Si 3.382 5.073 0.000
Si 5.073 0.000 3.382
Si 0.000 3.382 5.073
Si 3.382 1.691 0.000
Au 0.000 1.691 3.382
Au 0.000 5.073 3.382
Au 3.382 0.000 5.073
Au 5.073 3.382 0.000
Au 3.382 0.000 1.691
Au 1.691 3.382 0.000
Th 3.382 3.382 3.382
Th 0.000 0.000 0.000
```

(6)
First-principles (PBE) data for an optimized crystal structure of ThSi2Au2, as listed in the Alexandria database.

Values from the calculation:
- Total moment: 0.00 Bohr magnetons per cell
- DFT total energy: -0.2025 Ha/atom
- Uncorrected formation energy: -0.55 eV per atom

```
5
Lattice="5.957 -0.036 0.000 2.797 5.260 0.000 -4.377 -2.612 3.084" Properties=species:S:1:pos:R:3 pbc="T T T"
Si 5.370 3.205 0.000
Si 3.384 2.020 0.000
Au 1.398 2.630 1.542
Au 2.979 -0.018 1.542
Th 0.000 0.000 0.000
```